# AlPtNF2 (GGA-PBE, optimized geometry)
data_AlPtNF2
_chemical_formula_sum 'Al1 Pt1 N1 F2'
_cell_length_a 4.686
_cell_length_b 4.686
_cell_length_c 3.666
_cell_angle_alpha 90.00
_cell_angle_beta 90.00
_cell_angle_gamma 90.00
_space_group_name_H-M_alt 'P 4/m m m'
_space_group_IT_number 123
_space_group_name_Hall '-P 4 2'
loop_
_atom_site_label
_atom_site_fract_x
_atom_site_fract_y
_atom_site_fract_z
Al1 0.000 0.000 0.000
Pt1 0.500 0.500 0.500
N1 0.500 0.500 0.000
F1 0.000 0.500 0.500
# D(E_F): 2.0 states/eV/cell
# E_tot: -4.56 eV/atom
# formation energy (no corrections): -191 meV per atom

# AlPtNF2 (GGA-PBE, optimized geometry)
data_AlPtNF2
_chemical_formula_sum 'Al1 Pt1 N1 F2'
_cell_length_a 3.454
_cell_length_b 3.454
_cell_length_c 4.631
_cell_angle_alpha 90.00
_cell_angle_beta 90.00
_cell_angle_gamma 90.00
_space_group_name_H-M_alt 'P 4/m m m'
_space_group_IT_number 123
_space_group_name_Hall '-P 4 2'
loop_
_atom_site_label
_atom_site_fract_x
_atom_site_fract_y
_atom_site_fract_z
Al1 0.000 0.000 0.000
Pt1 0.500 0.500 0.500
N1 0.000 0.000 0.500
F1 0.000 0.500 0.000
# D(E_F): 5.2 states/eV/cell
# E_tot: -5.35 eV/atom
# formation energy (no corrections): -979 meV per atom

# RbAlN2F (GGA-PBE, optimized geometry)
data_RbAlN2F
_chemical_formula_sum 'Rb1 Al1 N2 F1'
_cell_length_a 5.449
_cell_length_b 5.449
_cell_length_c 5.045
_cell_angle_alpha 90.00
_cell_angle_beta 90.00
_cell_angle_gamma 90.00
_space_group_name_H-M_alt 'P 4/m m m'
_space_group_IT_number 123
_space_group_name_Hall '-P 4 2'
loop_
_atom_site_label
_atom_site_fract_x
_atom_site_fract_y
_atom_site_fract_z
Rb1 0.000 0.000 0.000
Al1 0.500 0.500 0.500
N1 0.000 0.500 0.000
F1 0.000 0.000 0.500
# D(E_F): 2.0 states/eV/cell
# E_tot: -3.19 eV/atom
# formation energy (no corrections): 1459 meV per atom

# RbAlN2F (GGA-PBE, optimized geometry)
data_RbAlN2F
_chemical_formula_sum 'Rb1 Al1 N2 F1'
_cell_length_a 3.812
_cell_length_b 3.812
_cell_length_c 4.853
_cell_angle_alpha 90.00
_cell_angle_beta 90.00
_cell_angle_gamma 90.00
_space_group_name_H-M_alt 'P 4/m m m'
_space_group_IT_number 123
_space_group_name_Hall '-P 4 2'
loop_
_atom_site_label
_atom_site_fract_x
_atom_site_fract_y
_atom_site_fract_z
Rb1 0.000 0.000 0.000
Al1 0.500 0.500 0.500
N1 0.000 0.500 0.500
F1 0.500 0.500 0.000
# D(E_F): 3.0 states/eV/cell
# E_tot: -5.04 eV/atom
# formation energy (no corrections): -395 meV per atom

# Rb2AlNF6 (GGA-PBE, optimized geometry)
data_Rb2AlNF6
_chemical_formula_sum 'Rb4 Al2 N2 F12'
_cell_length_a 5.403
_cell_length_b 5.403
_cell_length_c 10.243
_cell_angle_alpha 90.00
_cell_angle_beta 90.00
_cell_angle_gamma 90.00
_space_group_name_H-M_alt 'I 4/m m m'
_space_group_IT_number 139
_space_group_name_Hall '-I 4 2'
loop_
_atom_site_label
_atom_site_fract_x
_atom_site_fract_y
_atom_site_fract_z
Rb1 0.000 0.500 0.250
Al1 0.000 0.000 0.000
N1 0.000 0.000 0.500
F1 0.000 0.000 0.174
F2 0.246 0.246 0.000
# D(E_F): 0.0 states/eV/cell
# E_tot: -4.60 eV/atom
# formation energy (no corrections): -2077 meV per atom

# AlReN2F (GGA-PBE, optimized geometry)
data_AlReN2F
_chemical_formula_sum 'Al1 Re1 N2 F1'
_cell_length_a 3.906
_cell_length_b 3.906
_cell_length_c 4.219
_cell_angle_alpha 90.00
_cell_angle_beta 90.00
_cell_angle_gamma 90.00
_space_group_name_H-M_alt 'P 4/m m m'
_space_group_IT_number 123
_space_group_name_Hall '-P 4 2'
loop_
_atom_site_label
_atom_site_fract_x
_atom_site_fract_y
_atom_site_fract_z
Al1 0.000 0.000 0.000
Re1 0.500 0.500 0.500
N1 0.000 0.500 0.500
F1 0.500 0.500 0.000
# D(E_F): 3.0 states/eV/cell
# E_tot: -6.89 eV/atom
# formation energy (no corrections): 56 meV per atom

# AlReN2F (GGA-PBE, optimized geometry)
data_AlReN2F
_chemical_formula_sum 'Al1 Re1 N2 F1'
_cell_length_a 3.885
_cell_length_b 3.885
_cell_length_c 3.400
_cell_angle_alpha 90.00
_cell_angle_beta 90.00
_cell_angle_gamma 90.00
_space_group_name_H-M_alt 'P 4/m m m'
_space_group_IT_number 123
_space_group_name_Hall '-P 4 2'
loop_
_atom_site_label
_atom_site_fract_x
_atom_site_fract_y
_atom_site_fract_z
Al1 0.000 0.000 0.000
Re1 0.500 0.500 0.500
N1 0.000 0.500 0.000
F1 0.000 0.000 0.500
# D(E_F): 1.6 states/eV/cell
# E_tot: -6.77 eV/atom
# formation energy (no corrections): 172 meV per atom

# AlRuNF2 (GGA-PBE, optimized geometry)
data_AlRuNF2
_chemical_formula_sum 'Al1 Ru1 N1 F2'
_cell_length_a 3.540
_cell_length_b 3.540
_cell_length_c 4.320
_cell_angle_alpha 90.00
_cell_angle_beta 90.00
_cell_angle_gamma 90.00
_space_group_name_H-M_alt 'P 4/m m m'
_space_group_IT_number 123
_space_group_name_Hall '-P 4 2'
loop_
_atom_site_label
_atom_site_fract_x
_atom_site_fract_y
_atom_site_fract_z
Al1 0.000 0.000 0.000
Ru1 0.500 0.500 0.500
N1 0.000 0.000 0.500
F1 0.000 0.500 0.000
# D(E_F): 4.4 states/eV/cell
# E_tot: -5.87 eV/atom
# formation energy (no corrections): -849 meV per atom

Copy entry 1 word for word.
# AlPtNF2 (GGA-PBE, optimized geometry)
data_AlPtNF2
_chemical_formula_sum 'Al1 Pt1 N1 F2'
_cell_length_a 4.686
_cell_length_b 4.686
_cell_length_c 3.666
_cell_angle_alpha 90.00
_cell_angle_beta 90.00
_cell_angle_gamma 90.00
_space_group_name_H-M_alt 'P 4/m m m'
_space_group_IT_number 123
_space_group_name_Hall '-P 4 2'
loop_
_atom_site_label
_atom_site_fract_x
_atom_site_fract_y
_atom_site_fract_z
Al1 0.000 0.000 0.000
Pt1 0.500 0.500 0.500
N1 0.500 0.500 0.000
F1 0.000 0.500 0.500
# D(E_F): 2.0 states/eV/cell
# E_tot: -4.56 eV/atom
# formation energy (no corrections): -191 meV per atom